[1]
The following is a PBEsol calculation of crystalline ZnIn at its relaxed geometry, from Alexandria via LeMat-Bulk.

Lattice parameters (Å, degrees): 3.136 3.136 8.040 90.00 90.00 90.00
Sites, in units of the cell vectors:
Zn 0.500 0.000 0.589
Zn 0.000 0.500 0.411
In 0.500 0.000 0.160
In 0.000 0.500 0.840

## Properties
As for the calculated volume: 79 Å³/cell. Its size of the total moment is 0.000 μB per cell. The total energy is -2.195 eV per atom.

=====

[2]
The following is a PBEsol calculation of crystalline ZnIn2 at its relaxed geometry, from Alexandria via LeMat-Bulk.

Lattice parameters (Å, degrees): 4.586 4.586 4.586 60.00 60.00 60.00
Sites, in units of the cell vectors:
In 0.250 0.250 0.250
In 0.750 0.750 0.750
Zn 0.000 0.000 0.000

## Properties
As for the calculated volume: 68 Å³/cell. Its size of the total moment is 0.000 μB per cell. The total energy is -2.479 eV per atom.

=====

[3]
The following is a PBEsol calculation of crystalline ZnIn at its relaxed geometry, from Alexandria via LeMat-Bulk.

Lattice parameters (Å, degrees): 3.269 3.269 8.815 90.00 90.00 120.00
Sites, in units of the cell vectors:
Zn 0.333 0.667 0.599
Zn 0.667 0.333 0.401
In 0.333 0.667 0.151
In 0.667 0.333 0.849

## Properties
As for the calculated volume: 82 Å³/cell. Its size of the total moment is 0.000 μB per cell. The total energy is -2.149 eV per atom.

=====

[4]
The following is a PBEsol calculation of crystalline ZnIn2 at its relaxed geometry, from Alexandria via LeMat-Bulk.

Lattice parameters (Å, degrees): 4.509 5.095 6.155 90.00 111.49 90.00
Sites, in units of the cell vectors:
In 0.872 0.250 0.305
In 0.128 0.750 0.695
In 0.567 0.250 0.695
In 0.433 0.750 0.305
Zn 0.790 0.750 0.000
Zn 0.210 0.250 0.000

## Properties
As for the calculated volume: 132 Å³/cell. Its size of the total moment is 0.000 μB per cell. The total energy is -2.419 eV per atom.

=====

[5]
The following is a PBEsol calculation of crystalline ZrZnIn at its relaxed geometry, from Alexandria via LeMat-Bulk.

Lattice parameters (Å, degrees): 3.231 4.506 4.506 120.00 90.00 90.00
Sites, in units of the cell vectors:
In 0.834 0.000 0.000
Zn 0.832 0.333 0.667
Zr 0.334 0.667 0.333

## Properties
As for the calculated volume: 57 Å³/cell. Its size of the total moment is 0.000 μB per cell. The total energy is -4.856 eV per atom.

=====

[6]
The following is a PBEsol calculation of crystalline Zr3ZnIn at its relaxed geometry, from Alexandria via LeMat-Bulk.

Lattice parameters (Å, degrees): 4.906 4.906 4.906 90.00 90.00 90.00
Sites, in units of the cell vectors:
Zr 0.000 0.000 0.500
Zr 0.500 0.000 0.000
Zr 0.000 0.500 0.000
In 0.500 0.500 0.500
Zn 0.000 0.000 0.000

## Properties
As for the calculated volume: 118 Å³/cell. Its size of the total moment is 0.000 μB per cell. The total energy is -6.042 eV per atom.

=====

[7]
The following is a PBEsol calculation of crystalline ZrZnIn at its relaxed geometry, from Alexandria via LeMat-Bulk.

Lattice parameters (Å, degrees): 4.533 4.533 4.533 60.00 60.00 60.00
Sites, in units of the cell vectors:
Zn 0.000 0.000 0.000
Zr 0.500 0.500 0.500
In 0.250 0.250 0.250

## Properties
As for the calculated volume: 66 Å³/cell. Its size of the total moment is 0.000 μB per cell. The total energy is -4.349 eV per atom.

=====

[8]
The following is a PBEsol calculation of crystalline ZrZnIn at its relaxed geometry, from Alexandria via LeMat-Bulk.

Lattice parameters (Å, degrees): 4.173 4.256 6.739 90.00 108.03 90.00
Sites, in units of the cell vectors:
Zr 0.654 0.500 0.308
Zr 0.346 0.500 0.692
Zn 0.500 0.000 0.000
Zn 0.000 0.500 0.000
In 0.837 0.000 0.674
In 0.163 0.000 0.326

## Properties
As for the calculated volume: 114 Å³/cell. Its size of the total moment is 0.000 μB per cell. The total energy is -4.885 eV per atom.

=====

[9]
The following is a PBEsol calculation of crystalline Zr5In3 at its relaxed geometry, from Alexandria via LeMat-Bulk.

Lattice parameters (Å, degrees): 4.414 6.224 6.224 89.98 90.00 90.00
Sites, in units of the cell vectors:
Zr 0.000 0.000 0.500
Zr 0.000 0.000 0.000
Zr 0.000 0.500 0.000
Zr 0.500 0.758 0.242
Zr 0.500 0.242 0.758
In 0.500 0.250 0.250
In 0.000 0.500 0.500
In 0.500 0.750 0.750

## Properties
As for the calculated volume: 171 Å³/cell. Its size of the total moment is 0.000 μB per cell. The total energy is -7.094 eV per atom.

=====

[10]
The following is a PBEsol calculation of crystalline Zr7In at its relaxed geometry, from Alexandria via LeMat-Bulk.

Lattice parameters (Å, degrees): 6.280 6.280 6.280 60.00 60.00 60.00
Sites, in units of the cell vectors:
Zr 0.500 0.500 0.000
Zr 0.000 0.500 0.000
Zr 0.500 0.500 0.500
Zr 0.000 0.500 0.500
Zr 0.500 0.000 0.000
Zr 0.500 0.000 0.500
Zr 0.000 0.000 0.500
In 0.000 0.000 0.000

## Properties
As for the calculated volume: 175 Å³/cell. Its size of the total moment is 0.000 μB per cell. The total energy is -8.400 eV per atom.

=====

[11]
The following is a PBEsol calculation of crystalline Ir at its relaxed geometry, from Alexandria via LeMat-Bulk.

Lattice parameters (Å, degrees): 2.715 2.715 4.424 90.00 90.00 120.00
Sites, in units of the cell vectors:
Ir 0.667 0.333 0.750
Ir 0.333 0.667 0.250

## Properties
As for the calculated volume: 28 Å³/cell. Its size of the total moment is 0.000 μB per cell. The total energy is -9.743 eV per atom.

=====

[12]
The following is a PBEsol calculation of crystalline Ir at its relaxed geometry, from Alexandria via LeMat-Bulk.

Lattice parameters (Å, degrees): 2.710 2.710 2.710 60.00 60.00 60.00
Sites, in units of the cell vectors:
Ir 0.000 0.000 0.000

## Properties
As for the calculated volume: 14 Å³/cell. Its size of the total moment is 0.000 μB per cell. The total energy is -9.823 eV per atom.

=====

[13]
The following is a PBEsol calculation of crystalline Ir at its relaxed geometry, from Alexandria via LeMat-Bulk.

Lattice parameters (Å, degrees): 2.542 2.542 2.542 90.00 90.00 90.00
Sites, in units of the cell vectors:
Ir 0.500 0.500 0.500

## Properties
As for the calculated volume: 16 Å³/cell. Its size of the total moment is 0.000 μB per cell. The total energy is -8.729 eV per atom.

=====

[14]
The following is a PBEsol calculation of crystalline K2Ir3 at its relaxed geometry, from Alexandria via LeMat-Bulk.

Lattice parameters (Å, degrees): 4.927 4.927 5.837 65.03 65.03 60.00
Sites, in units of the cell vectors:
K 0.610 0.610 0.171
K 0.390 0.390 0.829
Ir 0.847 0.847 0.459
Ir 0.153 0.153 0.541
Ir 0.000 0.000 0.000

## Properties
As for the calculated volume: 107 Å³/cell. Its size of the total moment is 0.011 μB per cell. The total energy is -5.308 eV per atom.

=====

[15]
The following is a PBEsol calculation of crystalline K2Ir at its relaxed geometry, from Alexandria via LeMat-Bulk.

Lattice parameters (Å, degrees): 3.053 3.053 9.318 90.00 90.00 120.00
Sites, in units of the cell vectors:
K 0.333 0.667 0.270
K 0.667 0.333 0.730
Ir 0.000 0.000 0.000

## Properties
As for the calculated volume: 75 Å³/cell. Its size of the total moment is 0.001 μB per cell. The total energy is -3.020 eV per atom.

=====

[16]
The following is a PBEsol calculation of crystalline KIr5 at its relaxed geometry, from Alexandria via LeMat-Bulk.

Lattice parameters (Å, degrees): 2.692 4.273 9.632 90.00 98.03 90.00
Sites, in units of the cell vectors:
Ir 0.960 0.000 0.921
Ir 0.426 0.500 0.852
Ir 0.793 0.500 0.587
Ir 0.718 0.000 0.436
Ir 0.339 0.000 0.677
K 0.097 0.500 0.194

## Properties
As for the calculated volume: 110 Å³/cell. Its size of the total moment is 0.001 μB per cell. The total energy is -7.838 eV per atom.

=====

[17]
The following is a PBEsol calculation of crystalline KLa2Ir at its relaxed geometry, from Alexandria via LeMat-Bulk.

Lattice parameters (Å, degrees): 4.225 4.229 10.739 101.09 90.00 119.97
Sites, in units of the cell vectors:
La 0.288 0.577 0.361
La 0.712 0.423 0.639
Ir 0.000 0.000 0.500
K 0.500 0.000 0.000

## Properties
As for the calculated volume: 162 Å³/cell. Its size of the total moment is 0.001 μB per cell. The total energy is -5.772 eV per atom.

=====

[18]
The following is a PBEsol calculation of crystalline KLa2Ir at its relaxed geometry, from Alexandria via LeMat-Bulk.

Lattice parameters (Å, degrees): 3.761 3.967 10.902 100.48 99.93 90.00
Sites, in units of the cell vectors:
La 0.005 0.005 0.009
La 0.857 0.357 0.713
K 0.187 0.687 0.373
Ir 0.452 0.452 0.904

## Properties
As for the calculated volume: 157 Å³/cell. Its size of the total moment is 0.000 μB per cell. The total energy is -5.521 eV per atom.

=====

[19]
The following is a PBEsol calculation of crystalline KLa2Ir at its relaxed geometry, from Alexandria via LeMat-Bulk.

Lattice parameters (Å, degrees): 4.233 4.235 10.655 78.46 78.54 60.01
Sites, in units of the cell vectors:
La 0.204 0.204 0.389
La 0.963 0.964 0.110
K 0.750 0.748 0.752
Ir 0.583 0.584 0.249

## Properties
As for the calculated volume: 161 Å³/cell. Its size of the total moment is 0.000 μB per cell. The total energy is -5.773 eV per atom.

=====

[20]
The following is a PBEsol calculation of crystalline KLaNi2Ir at its relaxed geometry, from Alexandria via LeMat-Bulk.

Lattice parameters (Å, degrees): 4.283 4.283 5.252 90.00 90.00 90.00
Sites, in units of the cell vectors:
Ni 0.500 0.000 0.000
Ni 0.000 0.500 0.000
Ir 0.500 0.500 0.500
K 0.000 0.000 0.000
La 0.000 0.000 0.500

## Properties
As for the calculated volume: 96 Å³/cell. Its size of the total moment is 0.000 μB per cell. The total energy is -4.027 eV per atom.

=====

no.,D(E_F) (states/eV/atom),energy relative to the elements (eV/f.u.),ρ (g/cm³)
1,0.41,0.18,7.57
2,0.36,0.11,7.18
3,0.40,0.27,7.34
4,0.41,0.29,7.45
5,0.38,-0.91,7.93
6,0.97,1.63,6.38
7,0.81,0.61,6.85
8,0.47,-1.00,7.92
9,0.82,-2.35,7.78
10,1.38,-0.59,7.14
11,1.08,0.08,22.61
12,0.71,0.00,22.68
13,1.43,1.09,19.44
14,1.11,5.20,10.15
15,0.88,3.03,5.97
16,1.34,3.22,15.14
17,0.89,-1.44,5.22
18,1.22,-0.44,5.37
19,0.89,-1.44,5.25
20,0.67,8.49,8.40